(1)
Pt17Pb: relaxed, GGA-PBE.

Computed properties:
Crystal system   monoclinic

abc: 4.813 5.553 33.765
angles: 90.00 90.08 90.00
Fractional positions:
Pt 0.007 0.000 0.707
Pt 0.502 0.753 0.706
Pt 0.830 0.749 0.363
Pt 0.502 0.247 0.706
Pt 0.830 0.251 0.363
Pt 0.829 0.746 0.773
Pt 0.165 0.250 0.431
Pt 0.666 0.000 0.432
Pt 0.002 0.500 0.705
Pt 0.499 0.253 0.294
Pt 0.171 0.754 0.227
Pt 0.334 0.500 0.568
Pt 0.171 0.246 0.227
Pt 0.835 0.250 0.569
Pt 0.670 0.500 0.636
Pt 0.165 0.750 0.431
Pt 0.998 0.000 0.295
Pt 0.499 0.747 0.294
Pt 0.669 0.000 0.637
Pt 0.666 0.500 0.431
Pt 0.000 0.500 0.500
Pt 0.170 0.249 0.637
Pt 0.500 0.750 0.500
Pt 0.835 0.750 0.569
Pt 0.331 0.500 0.363
Pt 0.000 0.000 0.500
Pt 0.674 0.000 0.226
Pt 0.500 0.250 0.500
Pt 0.326 0.500 0.774
Pt 0.330 0.000 0.363
Pt 0.993 0.500 0.293
Pt 0.170 0.751 0.637
Pt 0.334 0.000 0.569
Pt 0.829 0.254 0.773
Pb 0.331 0.000 0.802
Pb 0.669 0.500 0.198

=====

(2)
Pt2Pb5: relaxed, GGA-PBE.

Computed properties:
Crystal system   monoclinic

abc: 8.585 8.585 7.117
angles: 97.00 97.00 44.65
Fractional positions:
Pb 0.632 0.806 0.302
Pb 0.423 0.577 0.250
Pb 0.781 0.036 0.057
Pb 0.368 0.194 0.698
Pb 0.806 0.632 0.802
Pb 0.577 0.423 0.750
Pb 0.036 0.781 0.557
Pb 0.219 0.964 0.943
Pb 0.194 0.368 0.198
Pb 0.964 0.219 0.443
Pt 0.172 0.610 0.927
Pt 0.610 0.172 0.427
Pt 0.390 0.828 0.573
Pt 0.828 0.390 0.073

=====

(3)
Pt7Pb: relaxed, GGA-PBE.

Computed properties:
Crystal system   tetragonal

abc: 2.897 2.897 43.131
angles: 90.00 90.00 90.00
Fractional positions:
Pt 0.000 0.000 0.741
Pt 0.000 0.000 0.566
Pt 0.500 0.500 0.610
Pt 0.000 0.000 0.478
Pt 0.500 0.500 0.697
Pt 0.000 0.000 0.214
Pt 0.000 0.000 0.390
Pt 0.500 0.500 0.347
Pt 0.500 0.500 0.434
Pt 0.500 0.500 0.522
Pt 0.000 0.000 0.303
Pt 0.000 0.000 0.653
Pt 0.500 0.500 0.259
Pt 0.500 0.500 0.786
Pb 0.500 0.500 0.163
Pb 0.000 0.000 0.837

=====

no.,energy (eV/atom)
1,-5.868
2,-4.505
3,-5.689